# 1
Ac2MgVO6 | PBE with a Hubbard U | relaxed

Lattice parameters (Å, degrees): 5.7420 5.6998 7.8638 90.00 90.04 90.00
Positions (direct):
1 V 0.0000 0.5000 0.5000
2 V 0.5000 0.0000 0.0000
3 O 0.9402 0.5008 0.2615
4 O 0.7578 0.7481 0.5335
5 O 0.4402 0.9992 0.7615
6 O 0.5598 0.0008 0.2385
7 O 0.2578 0.7519 0.0335
8 O 0.0598 0.4992 0.7385
9 O 0.7472 0.7570 0.9666
10 O 0.2472 0.7430 0.4666
11 O 0.7422 0.2481 0.9665
12 O 0.7528 0.2570 0.5334
13 O 0.2528 0.2430 0.0334
14 O 0.2422 0.2519 0.4665
15 Ac 0.4940 0.4979 0.2501
16 Ac 0.5060 0.5021 0.7499
17 Ac 0.9940 0.0021 0.7501
18 Ac 0.0060 0.9979 0.2499
19 Mg 0.0000 0.5000 0.0000
20 Mg 0.5000 0.0000 0.5000

Computed properties:
As for the space group: No. 14.

# 2
AcMg4V3O12 | PBE with a Hubbard U | relaxed

Lattice parameters (Å, degrees): 6.6163 6.6163 6.6163 109.47 109.47 109.47
Positions (direct):
1 O 0.1666 0.4869 0.3204
2 O 0.3204 0.1666 0.4869
3 O 0.1666 0.8462 0.6796
4 O 0.3204 0.8334 0.1538
5 O 0.8334 0.5131 0.6796
6 O 0.4869 0.3204 0.1666
7 O 0.8462 0.6796 0.1666
8 O 0.8334 0.1538 0.3204
9 O 0.6796 0.1666 0.8462
10 O 0.6796 0.8334 0.5131
11 O 0.1538 0.3204 0.8334
12 O 0.5131 0.6796 0.8334
13 Ac 0.0000 0.0000 0.0000
14 Mg 0.5000 0.5000 0.5000
15 Mg 0.0000 0.5000 0.0000
16 Mg 0.5000 0.0000 0.0000
17 Mg 0.0000 0.0000 0.5000
18 V 0.0000 0.5000 0.5000
19 V 0.5000 0.5000 0.0000
20 V 0.5000 0.0000 0.5000

Computed properties:
As for the space group: No. 204.

# 3
AcMgV2O8 | PBE with a Hubbard U | relaxed

Lattice parameters (Å, degrees): 5.5874 5.5874 6.9775 90.00 90.00 120.00
Positions (direct):
1 Ac 0.0000 0.0000 0.0000
2 O 0.6667 0.3333 0.9883
3 O 0.3202 0.1601 0.3028
4 O 0.8399 0.1601 0.3028
5 O 0.6798 0.8399 0.6972
6 O 0.1601 0.3202 0.6972
7 O 0.1601 0.8399 0.6972
8 O 0.8399 0.6798 0.3028
9 O 0.3333 0.6667 0.0117
10 V 0.6667 0.3333 0.2320
11 V 0.3333 0.6667 0.7680
12 Mg 0.0000 0.0000 0.5000

Computed properties:
As for the space group: No. 164.

# 4
Ac3Mg2VO9 | PBE with a Hubbard U | relaxed

Lattice parameters (Å, degrees): 5.6530 5.6530 6.8981 90.00 90.00 120.00
Positions (direct):
1 Mg 0.3333 0.6667 0.1695
2 Mg 0.6667 0.3333 0.8305
3 O 0.1585 0.3170 0.3412
4 O 0.8415 0.1585 0.6588
5 O 0.3170 0.1585 0.6588
6 O 0.1585 0.8415 0.3412
7 O 0.5000 0.5000 0.0000
8 O 0.5000 0.0000 0.0000
9 O 0.0000 0.5000 0.0000
10 O 0.6830 0.8415 0.3412
11 O 0.8415 0.6830 0.6588
12 Ac 0.3333 0.6667 0.6967
13 Ac 0.0000 0.0000 0.0000
14 Ac 0.6667 0.3333 0.3033
15 V 0.0000 0.0000 0.5000

Computed properties:
As for the space group: No. 164.

Record order is preserved below.
Electronic total energy: -7.636; -6.824; -7.289; -7.399 eV/atom